# Ce6Sb2Pb (PBE-GGA, relaxed)
data_Ce6Sb2Pb
_cell_length_a 7.471
_cell_length_b 7.471
_cell_length_c 13.337
_cell_angle_alpha 90.00
_cell_angle_beta 90.00
_cell_angle_gamma 90.00
_symmetry_space_group_name_H-M 'P 42/m n m'
_symmetry_Int_Tables_number 136
_symmetry_space_group_name_Hall '-P 4n 2n'
loop_
_atom_site_label
_atom_site_type_symbol
_atom_site_fract_x
_atom_site_fract_y
_atom_site_fract_z
Ce1 Ce 0.206 0.206 0.000
Ce2 Ce 0.208 0.208 0.330
Sb1 Sb 0.000 0.000 0.165
Pb1 Pb 0.000 0.000 0.500
# - uncorrected formation energy (meV per atom) = -53.1
# - total magnetic moment (μB per cell) = 23.3

---

# Ce8Sb2Pb3 (PBE-GGA, relaxed)
data_Ce8Sb2Pb3
_cell_length_a 14.796
_cell_length_b 9.234
_cell_length_c 6.088
_cell_angle_alpha 90.00
_cell_angle_beta 108.31
_cell_angle_gamma 90.00
_symmetry_space_group_name_H-M 'C 1 2/m 1'
_symmetry_Int_Tables_number 12
loop_
_symmetry_equiv_pos_as_xyz
'x,y,z'
'-x,-y,-z'
'-x,y,-z'
'x,-y,z'
'x+1/2,y+1/2,z'
'-x+1/2,-y+1/2,-z'
'-x+1/2,y+1/2,-z'
'x+1/2,-y+1/2,z'
loop_
_atom_site_label
_atom_site_type_symbol
_atom_site_fract_x
_atom_site_fract_y
_atom_site_fract_z
Ce1 Ce 0.122 0.190 0.062
Ce2 Ce 0.139 0.000 0.406
Ce3 Ce 0.167 0.500 0.543
Sb1 Sb 0.227 0.500 0.082
Pb1 Pb 0.000 0.255 0.500
Pb2 Pb 0.000 0.500 0.000
# - uncorrected formation energy (meV per atom) = -320.9
# - total magnetic moment (μB per cell) = 6.7

---

# Ce7SbPb5 (PBE-GGA, relaxed)
data_Ce7SbPb5
_cell_length_a 6.493
_cell_length_b 11.484
_cell_length_c 10.963
_cell_angle_alpha 90.00
_cell_angle_beta 90.00
_cell_angle_gamma 90.00
_symmetry_space_group_name_H-M 'I m m 2'
_symmetry_Int_Tables_number 44
loop_
_symmetry_equiv_pos_as_xyz
'x,y,z'
'-x,-y,z'
'-x,y,z'
'x,-y,z'
'x+1/2,y+1/2,z+1/2'
'-x+1/2,-y+1/2,z+1/2'
'-x+1/2,y+1/2,z+1/2'
'x+1/2,-y+1/2,z+1/2'
loop_
_atom_site_label
_atom_site_type_symbol
_atom_site_fract_x
_atom_site_fract_y
_atom_site_fract_z
Ce1 Ce 0.000 0.000 0.000
Ce2 Ce 0.000 0.000 0.393
Ce3 Ce 0.000 0.328 0.638
Ce4 Ce 0.000 0.342 0.130
Ce5 Ce 0.000 0.500 0.315
Sb1 Sb 0.000 0.000 0.681
Pb1 Pb 0.000 0.500 0.877
Pb2 Pb 0.249 0.259 0.388
# - uncorrected formation energy (meV per atom) = -289.4
# - total magnetic moment (μB per cell) = 16.8

---

# Ce8Sb3Pb4 (PBE-GGA, relaxed)
data_Ce8Sb3Pb4
_cell_length_a 12.766
_cell_length_b 12.774
_cell_length_c 8.981
_cell_angle_alpha 90.00
_cell_angle_beta 134.65
_cell_angle_gamma 90.00
_symmetry_space_group_name_H-M 'C 1 2/m 1'
_symmetry_Int_Tables_number 12
loop_
_symmetry_equiv_pos_as_xyz
'x,y,z'
'-x,-y,-z'
'-x,y,-z'
'x,-y,z'
'x+1/2,y+1/2,z'
'-x+1/2,-y+1/2,-z'
'-x+1/2,y+1/2,-z'
'x+1/2,-y+1/2,z'
loop_
_atom_site_label
_atom_site_type_symbol
_atom_site_fract_x
_atom_site_fract_y
_atom_site_fract_z
Ce1 Ce 0.000 0.248 0.000
Ce2 Ce 0.000 0.250 0.500
Ce3 Ce 0.248 0.000 0.999
Ce4 Ce 0.249 0.000 0.497
Sb1 Sb 0.000 0.000 0.000
Sb2 Sb 0.250 0.250 0.000
Pb1 Pb 0.000 0.000 0.500
Pb2 Pb 0.000 0.500 0.000
Pb3 Pb 0.250 0.250 0.500
# - uncorrected formation energy (meV per atom) = -486.9
# - total magnetic moment (μB per cell) = 8.8